Below is Rb2LiYBr6 after structural relaxation, with properties calculated at the PBE level.

Values from the calculation:
Formation energy (no corrections) ... -1777 meV/atom

CIF file:
```
data_Rb2LiYBr6
_space_group_name_H-M_alt 'F m -3 m'
_space_group_IT_number 225
_space_group_name_Hall '-F 4 2 3'
_cell_length_a 11.093
_cell_length_b 11.093
_cell_length_c 11.093
_cell_angle_alpha 90.00
_cell_angle_beta 90.00
_cell_angle_gamma 90.00
loop_
_atom_site_label
_atom_site_fract_x
_atom_site_fract_y
_atom_site_fract_z
_atom_site_occupancy
Rb1 0.250 0.250 0.250 1
Li1 0.000 0.000 0.000 1
Y1 0.000 0.000 0.500 1
Br1 0.000 0.000 0.248 1
```

Below is RbLiZn2Br6 after structural relaxation, with properties calculated at the PBE level.

Values from the calculation:
Formation energy (no corrections) ... -1166 meV/atom

CIF file:
```
data_RbLiZn2Br6
_space_group_name_H-M_alt 'C 1 2/c 1'
_space_group_IT_number 15
_space_group_name_Hall '-C 2yc'
_cell_length_a 14.020
_cell_length_b 14.489
_cell_length_c 7.633
_cell_angle_alpha 90.00
_cell_angle_beta 109.61
_cell_angle_gamma 90.00
loop_
_atom_site_label
_atom_site_fract_x
_atom_site_fract_y
_atom_site_fract_z
_atom_site_occupancy
Rb1 0.000 0.120 0.250 1
Li1 0.000 0.224 0.750 1
Zn1 0.194 0.426 0.183 1
Br1 0.115 0.280 0.061 1
Br2 0.122 0.087 0.710 1
Br3 0.141 0.445 0.465 1
```

Below is RbLiZnBr4 after structural relaxation, with properties calculated at the PBE level.

Values from the calculation:
Formation energy (no corrections) ... -1321 meV/atom

CIF file:
```
data_RbLiZnBr4
_space_group_name_H-M_alt 'P 1 21/m 1'
_space_group_IT_number 11
_space_group_name_Hall '-P 2yb'
_cell_length_a 6.498
_cell_length_b 8.270
_cell_length_c 9.334
_cell_angle_alpha 90.00
_cell_angle_beta 104.73
_cell_angle_gamma 90.00
loop_
_atom_site_label
_atom_site_fract_x
_atom_site_fract_y
_atom_site_fract_z
_atom_site_occupancy
Rb1 0.227 0.250 0.095 1
Li1 0.304 0.250 0.678 1
Zn1 0.191 0.750 0.310 1
Br1 0.057 0.023 0.729 1
Br2 0.361 0.750 0.098 1
Br3 0.493 0.750 0.521 1
```

Below is Rb2LiZnBr5 after structural relaxation, with properties calculated at the PBE level.

Values from the calculation:
Formation energy (no corrections) ... -1405 meV/atom

CIF file:
```
data_Rb2LiZnBr5
_space_group_name_H-M_alt 'C m c 21'
_space_group_IT_number 36
_space_group_name_Hall 'C 2c -2'
_cell_length_a 4.204
_cell_length_b 20.728
_cell_length_c 14.122
_cell_angle_alpha 90.00
_cell_angle_beta 90.00
_cell_angle_gamma 90.00
loop_
_atom_site_label
_atom_site_fract_x
_atom_site_fract_y
_atom_site_fract_z
_atom_site_occupancy
Rb1 0.000 0.131 0.000 1
Rb2 0.000 0.132 0.633 1
Li1 0.000 0.221 0.359 1
Zn1 0.000 0.435 0.740 1
Br1 0.000 0.039 0.332 1
Br2 0.000 0.298 0.968 1
Br3 0.000 0.322 0.700 1
Br4 0.000 0.339 0.317 1
Br5 0.000 0.496 0.593 1
```

Below is RbLiZrBr6 after structural relaxation, with properties calculated at the PBE level.

Values from the calculation:
Formation energy (no corrections) ... -1519 meV/atom

CIF file:
```
data_RbLiZrBr6
_space_group_name_H-M_alt 'P -3 1 c'
_space_group_IT_number 163
_space_group_name_Hall '-P 3 2c'
_cell_length_a 7.0828
_cell_length_b 7.0828
_cell_length_c 15.3161
_cell_angle_alpha 90.00
_cell_angle_beta 90.00
_cell_angle_gamma 120.00
loop_
_atom_site_label
_atom_site_fract_x
_atom_site_fract_y
_atom_site_fract_z
_atom_site_occupancy
Rb1 0.0000 0.0000 0.0000 1
Li1 0.3333 0.6667 0.2500 1
Zr1 0.3333 0.6667 0.7500 1
Br1 0.0117 0.3807 0.6491 1
```

Below is LiRe2Br8 after structural relaxation, with properties calculated at the PBE level.

Values from the calculation:
Formation energy (no corrections) ... -145 meV/atom

CIF file:
```
data_LiRe2Br8
_space_group_name_H-M_alt 'C 1 2/m 1'
_space_group_IT_number 12
_space_group_name_Hall '-C 2y'
_cell_length_a 12.739
_cell_length_b 10.060
_cell_length_c 6.805
_cell_angle_alpha 90.00
_cell_angle_beta 94.37
_cell_angle_gamma 90.00
loop_
_atom_site_label
_atom_site_fract_x
_atom_site_fract_y
_atom_site_fract_z
_atom_site_occupancy
Li1 0.000 0.000 0.000 1
Re1 0.204 0.000 0.668 1
Br1 0.106 0.178 0.806 1
Br2 0.116 0.500 0.212 1
Br3 0.193 0.000 0.318 1
```

Below is LiReBr5 after structural relaxation, with properties calculated at the PBE level.

Values from the calculation:
Formation energy (no corrections) ... -533 meV/atom

CIF file:
```
data_LiReBr5
_space_group_name_H-M_alt 'C 1 2/c 1'
_space_group_IT_number 15
_space_group_name_Hall '-C 2yc'
_cell_length_a 10.025
_cell_length_b 10.836
_cell_length_c 9.642
_cell_angle_alpha 90.00
_cell_angle_beta 120.53
_cell_angle_gamma 90.00
loop_
_atom_site_label
_atom_site_fract_x
_atom_site_fract_y
_atom_site_fract_z
_atom_site_occupancy
Li1 0.000 0.120 0.250 1
Re1 0.250 0.250 0.000 1
Br1 0.000 0.334 0.750 1
Br2 0.131 0.292 0.171 1
Br3 0.171 0.029 0.976 1
```

Below is Li2ReBr6 after structural relaxation, with properties calculated at the PBE level.

Values from the calculation:
Formation energy (no corrections) ... -813 meV/atom

CIF file:
```
data_Li2ReBr6
_space_group_name_H-M_alt 'P n n m'
_space_group_IT_number 58
_space_group_name_Hall '-P 2 2n'
_cell_length_a 6.503
_cell_length_b 6.685
_cell_length_c 11.386
_cell_angle_alpha 90.00
_cell_angle_beta 90.00
_cell_angle_gamma 90.00
loop_
_atom_site_label
_atom_site_fract_x
_atom_site_fract_y
_atom_site_fract_z
_atom_site_occupancy
Li1 0.000 0.000 0.169 1
Re1 0.000 0.500 0.000 1
Br1 0.220 0.336 0.157 1
Br2 0.228 0.807 0.000 1
```

Below is LiReBr4 after structural relaxation, with properties calculated at the PBE level.

Values from the calculation:
Formation energy (no corrections) ... 1067 meV/atom

CIF file:
```
data_LiReBr4
_space_group_name_H-M_alt 'F -4 3 m'
_space_group_IT_number 216
_space_group_name_Hall 'F -4 2 3'
_cell_length_a 9.129
_cell_length_b 9.129
_cell_length_c 9.129
_cell_angle_alpha 90.00
_cell_angle_beta 90.00
_cell_angle_gamma 90.00
loop_
_atom_site_label
_atom_site_fract_x
_atom_site_fract_y
_atom_site_fract_z
_atom_site_occupancy
Li1 0.000 0.000 0.000 1
Re1 0.250 0.250 0.750 1
Br1 0.125 0.125 0.375 1
```

Below is Li2ReBr8 after structural relaxation, with properties calculated at the PBE level.

Values from the calculation:
Formation energy (no corrections) ... -565 meV/atom

CIF file:
```
data_Li2ReBr8
_space_group_name_H-M_alt 'C 1 2/m 1'
_space_group_IT_number 12
_space_group_name_Hall '-C 2y'
_cell_length_a 13.925
_cell_length_b 7.145
_cell_length_c 6.683
_cell_angle_alpha 90.00
_cell_angle_beta 90.91
_cell_angle_gamma 90.00
loop_
_atom_site_label
_atom_site_fract_x
_atom_site_fract_y
_atom_site_fract_z
_atom_site_occupancy
Li1 0.157 0.000 0.449 1
Re1 0.000 0.000 0.000 1
Br1 0.056 0.246 0.239 1
Br2 0.161 0.000 0.845 1
Br3 0.181 0.500 0.677 1
```

Below is LiRe3Br after structural relaxation, with properties calculated at the PBE level.

Values from the calculation:
Formation energy (no corrections) ... 2245 meV/atom

CIF file:
```
data_LiRe3Br
_space_group_name_H-M_alt 'P m -3 m'
_space_group_IT_number 221
_space_group_name_Hall '-P 4 2 3'
_cell_length_a 4.568
_cell_length_b 4.568
_cell_length_c 4.568
_cell_angle_alpha 90.00
_cell_angle_beta 90.00
_cell_angle_gamma 90.00
loop_
_atom_site_label
_atom_site_fract_x
_atom_site_fract_y
_atom_site_fract_z
_atom_site_occupancy
Li1 0.000 0.000 0.000 1
Re1 0.000 0.500 0.500 1
Br1 0.500 0.500 0.500 1
```

Number 1: size of the total moment 0.0 μB per formula unit. Number 2: size of the total moment 0.0 μB per formula unit. Number 3: size of the total moment 0.0 μB per formula unit. Number 4: size of the total moment 0.0 μB per formula unit. Number 5: size of the total moment 0.0 μB per formula unit. Number 6: size of the total moment 1.0 μB per formula unit. Number 7: size of the total moment 3.0 μB per formula unit. Number 8: size of the total moment 3.0 μB per formula unit. Number 9: size of the total moment 4.2 μB per formula unit. Number 10: size of the total moment 0.9 μB per formula unit. Number 11: size of the total moment 0.3 μB per formula unit.